1.
The following is a PBE-GGA calculation of crystalline NiSb2CI at its relaxed geometry, from Alexandria via LeMat-Bulk.

Values from the calculation:
- density of states at the Fermi level (states/eV/atom) = 0.64
- energy above the lowest structure with this stoichiometry (eV/atom) = 0.0000
- V (Å³ per cell) = 107.14
- density (Mg/m³) = 6.84

Cell lengths 4.674, 4.674, 4.904 Å; angles 90.00, 90.00, 90.00 degrees
Atoms (fractional coordinates):
I 0.000 0.000 0.500
Sb 0.000 0.500 0.000
Sb 0.500 0.000 0.000
C 0.000 0.000 0.000
Ni 0.500 0.500 0.500

2.
The following is a PBE-GGA calculation of crystalline Sm8NiC3I4 at its relaxed geometry, from Alexandria via LeMat-Bulk.

Values from the calculation:
- density of states at the Fermi level (states/eV/atom) = 0.73
- V (Å³ per cell) = 408.62
- energy (eV/cell) = -87.7
- density (Mg/m³) = 7.34

Cell lengths 7.841, 8.909, 7.844 Å; angles 116.14, 119.98, 90.00 degrees
Atoms (fractional coordinates):
Sm 0.233 0.676 0.942
Sm 0.234 0.676 0.467
Sm 0.276 0.327 0.552
Sm 0.709 0.676 0.942
Sm 0.291 0.324 0.058
Sm 0.724 0.673 0.448
Sm 0.766 0.324 0.533
Sm 0.767 0.324 0.058
Ni 0.000 0.500 0.000
C 0.500 0.500 0.000
C 0.500 0.500 0.500
C 0.000 0.500 0.500
I 0.500 0.000 0.000
I 0.500 0.000 0.500
I 0.000 0.000 0.000
I 0.000 0.000 0.500

3.
The following is a PBE-GGA calculation of crystalline Sr2NiCI at its relaxed geometry, from Alexandria via LeMat-Bulk.

Values from the calculation:
- density of states at the Fermi level (states/eV/atom) = 0.57
- V (Å³ per cell) = 120.29
- energy (eV/cell) = -21.9
- density (Mg/m³) = 5.15

Cell lengths 5.664, 5.664, 3.750 Å; angles 90.00, 90.00, 90.00 degrees
Atoms (fractional coordinates):
I 0.500 0.500 0.500
Sr 0.000 0.500 0.000
Sr 0.500 0.000 0.000
C 0.000 0.000 0.000
Ni 0.000 0.000 0.500

4.
The following is a PBE-GGA calculation of crystalline SrNiC2I at its relaxed geometry, from Alexandria via LeMat-Bulk.

Values from the calculation:
- density of states at the Fermi level (states/eV/atom) = 0.91
- V (Å³ per cell) = 147.25
- energy (eV/cell) = -14.0
- density (Mg/m³) = 3.35

Cell lengths 4.745, 6.540, 4.745 Å; angles 90.00, 90.00, 90.00 degrees
Last column: magnetic moment on the atom in μB.
Atoms (fractional coordinates):
I 0.500 0.500 0.500  0.12
Sr 0.000 0.000 0.000  0.13
C 0.000 0.000 0.500  0.84
C 0.500 0.000 0.000  0.82
Ni 0.000 0.500 0.000  0.86

5.
The following is a PBE-GGA calculation of crystalline NiTeCI2 at its relaxed geometry, from Alexandria via LeMat-Bulk.

Values from the calculation:
- density of states at the Fermi level (states/eV/atom) = 1.54
- energy above the lowest structure with this stoichiometry (eV/atom) = 0.0000
- V (Å³ per cell) = 118.48
- density (Mg/m³) = 6.34

Cell lengths 5.047, 5.047, 4.651 Å; angles 90.00, 90.00, 90.00 degrees
Last column: magnetic moment on the atom in μB.
Atoms (fractional coordinates):
I 0.000 0.500 0.000  0.07
I 0.500 0.000 0.000  0.07
Ni 0.500 0.500 0.500  0.96
C 0.000 0.000 0.000  -0.01
Te 0.000 0.000 0.500  0.12

6.
The following is a PBE-GGA calculation of crystalline NiTeCI2 at its relaxed geometry, from Alexandria via LeMat-Bulk.

Values from the calculation:
- density of states at the Fermi level (states/eV/atom) = 1.25
- energy above the lowest structure with this stoichiometry (eV/atom) = 0.0935
- V (Å³ per cell) = 139.12
- density (Mg/m³) = 5.40

Cell lengths 5.291, 5.291, 4.969 Å; angles 90.00, 90.00, 90.00 degrees
Last column: magnetic moment on the atom in μB.
Atoms (fractional coordinates):
I 0.000 0.500 0.000  -0.04
I 0.500 0.000 0.000  -0.04
Ni 0.000 0.000 0.000  -0.12
C 0.500 0.500 0.500  0.85
Te 0.000 0.000 0.500  -0.24